(1)
# LaTl2P (GGA-PBE, relaxed)
data_LaTl2P
_symmetry_space_group_name_H-M 'P 1'
_symmetry_Int_Tables_number 1
_cell_length_a 4.135
_cell_length_b 4.099
_cell_length_c 7.400
_cell_angle_alpha 74.53
_cell_angle_beta 90.00
_cell_angle_gamma 90.00
loop_
_symmetry_equiv_pos_as_xyz
'x,y,z'
loop_
_atom_site_label
_atom_site_type_symbol
_atom_site_fract_x
_atom_site_fract_y
_atom_site_fract_z
P1 P 0.500 0.992 0.646
La1 La 0.000 0.519 0.590
Tl1 Tl 0.500 0.191 0.246
Tl2 Tl 0.000 0.799 0.018
# DOS(E_F) in states/eV/cell: 1.478
# ΔH_f (0 K) in eV per atom: -0.53

=====

(2)
# Dy2Er2Pb2S (GGA-PBE, relaxed)
data_Dy2Er2Pb2S
_symmetry_space_group_name_H-M 'P 1'
_symmetry_Int_Tables_number 1
_cell_length_a 5.063
_cell_length_b 5.063
_cell_length_c 8.777
_cell_angle_alpha 106.77
_cell_angle_beta 106.77
_cell_angle_gamma 90.00
loop_
_symmetry_equiv_pos_as_xyz
'x,y,z'
loop_
_atom_site_label
_atom_site_type_symbol
_atom_site_fract_x
_atom_site_fract_y
_atom_site_fract_z
Dy1 Dy 0.000 0.500 0.000
Dy2 Dy 0.500 0.000 0.000
Er1 Er 0.167 0.167 0.333
Er2 Er 0.833 0.833 0.667
Pb1 Pb 0.639 0.639 0.279
Pb2 Pb 0.361 0.361 0.721
S1 S 0.000 0.000 0.000
# Raw formation energy in eV/atom: -0.73
# DOS(E_F) in states/eV/cell: 3.871

=====

(3)
# KAgRhN2 (GGA-PBE, relaxed)
data_KAgRhN2
_symmetry_space_group_name_H-M 'P 1'
_symmetry_Int_Tables_number 1
_cell_length_a 3.990
_cell_length_b 5.194
_cell_length_c 3.990
_cell_angle_alpha 90.00
_cell_angle_beta 90.00
_cell_angle_gamma 90.00
loop_
_symmetry_equiv_pos_as_xyz
'x,y,z'
loop_
_atom_site_label
_atom_site_type_symbol
_atom_site_fract_x
_atom_site_fract_y
_atom_site_fract_z
N1 N 0.000 0.000 0.500
Rh1 Rh 0.000 0.000 0.000
Ag1 Ag 0.000 0.500 0.000
N2 N 0.500 0.000 0.000
K1 K 0.500 0.500 0.500
# Raw formation energy in eV/atom: 0.91
# DOS(E_F) in states/eV/cell: 3.026